No. 1
ReGeIrAu2 | PBE | optimized geometry

The structure in POSCAR format:
```
ReGeIrAu2
1.0
4.732 0.000 0.000
0.000 4.630 0.000
0.000 0.000 4.732
Au Ge Ir Re
2 1 1 1
Direct
0.500 0.000 0.000 Au
0.000 0.000 0.500 Au
0.000 0.000 0.000 Ge
0.000 0.500 0.000 Ir
0.500 0.500 0.500 Re
```

Calculated values
Uncorrected energy = -5.00 eV per atom
Space group = P4/mmm
Magnetization = 3.74 Bohr magnetons per cell

No. 2
Sm2Ge4Ir3Au | PBE | optimized geometry

The structure in POSCAR format:
```
Sm2Ge4Ir3Au
1.0
4.323 0.000 0.000
0.000 4.323 0.000
0.000 0.000 10.182
Ge Ir Sm Au
4 3 2 1
Direct
0.500 0.500 0.000 Ge
0.000 0.500 0.360 Ge
0.000 0.000 0.000 Ge
0.500 0.000 0.640 Ge
0.000 0.500 0.123 Ir
0.500 0.000 0.877 Ir
0.000 0.000 0.500 Ir
0.000 0.500 0.762 Sm
0.500 0.000 0.238 Sm
0.500 0.500 0.500 Au
```

Calculated values
Uncorrected energy = -6.45 eV per atom
Space group = P-4m2
Magnetization = 0.00 Bohr magnetons per cell

No. 3
Tb2Ge4Ir3Au | PBE | optimized geometry

The structure in POSCAR format:
```
Tb2Ge4Ir3Au
1.0
-1.261 0.507 4.059
-1.121 -4.128 0.168
9.398 -2.421 3.221
Ge Tb Ir Au
4 2 3 1
Direct
0.000 0.500 0.359 Ge
0.500 0.000 0.641 Ge
0.500 0.500 0.000 Ge
0.000 0.000 0.000 Ge
0.500 0.000 0.237 Tb
0.000 0.500 0.763 Tb
0.000 0.500 0.124 Ir
0.500 0.000 0.876 Ir
0.000 0.000 0.500 Ir
0.500 0.500 0.500 Au
```

Calculated values
Uncorrected energy = -6.41 eV per atom
Space group = P-4m2
Magnetization = 0.00 Bohr magnetons per cell

No. 4
ZnGeIr2Au | PBE | optimized geometry

The structure in POSCAR format:
```
ZnGeIr2Au
1.0
-3.581 -3.438 0.001
0.214 -0.225 -4.605
3.430 -3.573 0.334
Au Ge Ir Zn
1 1 2 1
Direct
0.000 0.000 0.000 Au
0.500 0.500 0.500 Ge
0.500 0.000 0.000 Ir
0.000 0.000 0.500 Ir
0.000 0.500 0.000 Zn
```

Calculated values
Uncorrected energy = -3.86 eV per atom
Space group = P4/mmm
Magnetization = 0.00 Bohr magnetons per cell

No. 5
K3GeAu | PBE | optimized geometry

The structure in POSCAR format:
```
K3GeAu
1.0
-6.752 -0.937 -3.817
1.866 -7.578 0.361
-0.191 3.380 7.617
K Ge Au
6 2 2
Direct
0.722 0.448 0.169 K
0.765 0.588 0.751 K
0.838 0.015 0.249 K
0.162 0.985 0.751 K
0.278 0.552 0.831 K
0.235 0.412 0.249 K
0.697 0.074 0.770 Ge
0.303 0.926 0.230 Ge
0.398 0.181 0.579 Au
0.602 0.819 0.421 Au
```

Calculated values
Uncorrected energy = -2.30 eV per atom
Polymorph energy (0 for the lowest one) = 0.00 eV per formula unit
Space group = C2/m
Magnetization = 0.00 Bohr magnetons per cell

No. 6
K3Ge5Au12 | PBE | optimized geometry

The structure in POSCAR format:
```
K3Ge5Au12
1.0
-12.121 -1.555 -8.116
10.636 -8.532 -5.412
-2.848 -3.925 13.845
Au K Ge
48 12 20
Direct
0.158 0.705 0.135 Au
0.842 0.547 0.478 Au
0.842 0.295 0.865 Au
0.978 0.635 0.930 Au
0.953 0.522 0.658 Au
0.570 0.047 0.705 Au
0.978 0.342 0.547 Au
0.635 0.978 0.430 Au
0.953 0.430 0.795 Au
0.295 0.453 0.430 Au
0.865 0.070 0.522 Au
0.047 0.570 0.205 Au
0.522 0.570 0.865 Au
0.453 0.158 0.022 Au
0.865 0.795 0.842 Au
0.795 0.865 0.342 Au
0.158 0.453 0.522 Au
0.070 0.865 0.022 Au
0.570 0.522 0.365 Au
0.365 0.342 0.295 Au
0.205 0.135 0.658 Au
0.342 0.365 0.795 Au
0.478 0.047 0.842 Au
0.795 0.930 0.953 Au
0.047 0.478 0.342 Au
0.547 0.705 0.070 Au
0.430 0.953 0.295 Au
0.930 0.795 0.453 Au
0.453 0.295 0.930 Au
0.635 0.658 0.705 Au
0.547 0.842 0.978 Au
0.930 0.135 0.978 Au
0.295 0.842 0.365 Au
0.135 0.205 0.158 Au
0.070 0.205 0.547 Au
0.478 0.430 0.135 Au
0.365 0.022 0.570 Au
0.205 0.070 0.047 Au
0.342 0.978 0.047 Au
0.430 0.478 0.635 Au
0.022 0.658 0.453 Au
0.705 0.158 0.635 Au
0.658 0.022 0.953 Au
0.022 0.365 0.070 Au
0.705 0.547 0.570 Au
0.522 0.953 0.158 Au
0.658 0.635 0.205 Au
0.135 0.930 0.478 Au
0.250 0.125 0.375 K
0.625 0.250 0.375 K
0.375 0.750 0.625 K
0.875 0.125 0.250 K
0.250 0.625 0.875 K
0.750 0.375 0.125 K
0.625 0.375 0.750 K
0.750 0.875 0.625 K
0.875 0.750 0.125 K
0.125 0.875 0.750 K
0.375 0.625 0.250 K
0.125 0.250 0.875 K
0.750 0.125 0.875 Ge
0.625 0.750 0.875 Ge
0.875 0.625 0.750 Ge
0.875 0.250 0.625 Ge
0.625 0.875 0.250 Ge
0.000 0.500 0.500 Ge
0.000 0.000 0.500 Ge
0.750 0.625 0.375 Ge
0.125 0.375 0.250 Ge
0.500 0.500 0.000 Ge
0.000 0.500 0.000 Ge
0.250 0.375 0.625 Ge
0.250 0.875 0.125 Ge
0.125 0.750 0.375 Ge
0.500 0.000 0.500 Ge
0.375 0.250 0.125 Ge
0.500 0.500 0.500 Ge
0.500 0.000 0.000 Ge
0.000 0.000 0.000 Ge
0.375 0.125 0.750 Ge
```

Calculated values
Uncorrected energy = -3.32 eV per atom
Space group = Ia-3d
Magnetization = 0.00 Bohr magnetons per cell

No. 7
KGe4Au4 | PBE | optimized geometry

The structure in POSCAR format:
```
KGe4Au4
1.0
5.216 0.000 0.000
0.000 9.040 0.000
0.000 0.000 9.040
Ge Au K
8 8 2
Direct
0.060 0.877 0.373 Ge
0.560 0.127 0.377 Ge
0.440 0.623 0.127 Ge
0.940 0.373 0.123 Ge
0.560 0.873 0.623 Ge
0.940 0.627 0.877 Ge
0.060 0.123 0.627 Ge
0.440 0.377 0.873 Ge
0.550 0.155 0.689 Au
0.450 0.689 0.845 Au
0.450 0.311 0.155 Au
0.050 0.189 0.345 Au
0.050 0.811 0.655 Au
0.950 0.345 0.811 Au
0.950 0.655 0.189 Au
0.550 0.845 0.311 Au
0.500 0.500 0.500 K
0.000 0.000 0.000 K
```

Calculated values
Uncorrected energy = -3.73 eV per atom
Space group = P4_2/n
Magnetization = 0.00 Bohr magnetons per cell

No. 8
KGe4Au4 | PBE | optimized geometry

The structure in POSCAR format:
```
KGe4Au4
1.0
-1.574 6.234 -2.048
-0.940 -2.298 -6.274
-8.490 -1.540 1.837
Au Ge K
8 8 2
Direct
0.500 0.209 0.169 Au
0.209 0.500 0.831 Au
0.709 0.000 0.669 Au
0.500 0.791 0.169 Au
0.000 0.709 0.331 Au
0.791 0.500 0.831 Au
0.291 0.000 0.669 Au
0.000 0.291 0.331 Au
0.244 0.500 0.132 Ge
0.000 0.256 0.632 Ge
0.256 0.000 0.368 Ge
0.500 0.244 0.868 Ge
0.000 0.744 0.632 Ge
0.756 0.500 0.132 Ge
0.744 0.000 0.368 Ge
0.500 0.756 0.868 Ge
0.500 0.500 0.500 K
0.000 0.000 0.000 K
```

Calculated values
Uncorrected energy = -3.73 eV per atom
Space group = P4_2/nmc
Magnetization = 0.00 Bohr magnetons per cell